1.
A geometry-optimized CuTe2Au structure. Source: the Alexandria database, functional PBE-GGA.

abc: 3.3611 3.3611 7.7313
angles: 90.00 90.00 90.00
Sites, in units of the cell vectors:
Au  0.5000  0.5000  0.2500
Cu  0.5000  0.5000  0.7500
Te  0.0000  0.0000  0.9748
Te  0.0000  0.0000  0.5252

Computed properties:
The value obtained for the density is 9.80 Mg/m³. Its symmetry is P4/mmm (123). The calculation puts the formation energy (no corrections) at 0.379 eV per atom. The value obtained for the total energy is -12.1 eV per cell.

***

2.
A geometry-optimized Sc2ReP structure. Source: the Alexandria database, functional PBE-GGA.

abc: 5.3769 5.3769 4.5166
angles: 73.88 73.88 34.42
Sites, in units of the cell vectors:
Sc  0.9833  0.9833  0.0354
Sc  0.7668  0.7668  0.7069
Re  0.2123  0.2123  0.2479
P  0.5376  0.5376  0.5098

Computed properties:
For the formation energy, the calculation gives -0.473 eV per atom. The value obtained for the density is 7.22 Mg/m³. Its symmetry is Cm (8). The value obtained for the total energy is -32.4 eV per cell.

***

3.
A geometry-optimized ZrSc2ZnNi structure. Source: the Alexandria database, functional PBE-GGA.

abc: 4.7784 4.6153 4.7784
angles: 90.00 90.00 90.00
Each line ends with the local moment (μB).
Sites, in units of the cell vectors:
Sc  0.0000  0.0000  0.5000  0.22
Sc  0.5000  0.0000  0.0000  0.20
Ni  0.0000  0.0000  0.0000  0.15
Zn  0.0000  0.5000  0.0000  0.00
Zr  0.5000  0.5000  0.5000  0.87

Computed properties:
For the formation energy, the calculation gives 0.110 eV per atom. The value obtained for the density is 4.81 Mg/m³. Its symmetry is P4/mmm (123). The value obtained for the total energy is -27.7 eV per cell.

***

4.
A geometry-optimized ScOs2Cl structure. Source: the Alexandria database, functional PBE-GGA.

abc: 4.5272 4.5272 4.5272
angles: 60.00 60.00 60.00
Sites, in units of the cell vectors:
Cl  0.5000  0.5000  0.5000
Os  0.0000  0.0000  0.0000
Os  0.2500  0.2500  0.2500
Sc  0.7500  0.7500  0.7500

Computed properties:
The value obtained for the density is 11.66 Mg/m³. The energy above the most stable polymorph in this dataset comes out at 739 meV per atom. Its symmetry is F-43m (216). The calculation puts the formation energy (no corrections) at 0.625 eV per atom. The value obtained for the total energy is -28.1 eV per cell.

***

5.
A geometry-optimized Cu2SiP structure. Source: the Alexandria database, functional PBE-GGA.

abc: 2.5347 2.5347 8.8958
angles: 90.00 90.00 89.94
Sites, in units of the cell vectors:
Cu  0.0000  0.0000  0.0183
Cu  0.5000  0.5000  0.2354
P  0.0000  0.0000  0.4410
Si  0.5000  0.5000  0.8053

Computed properties:
The value obtained for the density is 5.41 Mg/m³. Its symmetry is P4mm (99). The calculation puts the formation energy (no corrections) at 0.229 eV per atom. The value obtained for the total energy is -18.1 eV per cell.

***

6.
A geometry-optimized Zr6ScIn structure. Source: the Alexandria database, functional PBE-GGA.

abc: 4.4949 4.4949 9.0701
angles: 90.00 90.00 90.00
Sites, in units of the cell vectors:
Zr  0.5000  0.5000  0.0000
Zr  0.5000  0.5000  0.5000
Zr  0.5000  0.0000  0.2492
Zr  0.5000  0.0000  0.7508
Zr  0.0000  0.5000  0.2492
Zr  0.0000  0.5000  0.7508
Sc  0.0000  0.0000  0.5000
In  0.0000  0.0000  0.0000

Computed properties:
For the formation energy, the calculation gives -0.104 eV per atom. The value obtained for the density is 6.41 Mg/m³. The energy above the most stable polymorph in this dataset comes out at 3 meV per atom. Its symmetry is P4/mmm (123). The value obtained for the total energy is -61.2 eV per cell.

***

7.
A geometry-optimized TiNbTe2 structure. Source: the Alexandria database, functional PBE-GGA.

abc: 9.6247 9.6247 9.6247
angles: 20.92 20.92 20.92
Each line ends with the local moment (μB).
Sites, in units of the cell vectors:
Nb  0.5000  0.5000  0.5000  0.05
Te  0.9021  0.9021  0.9021  -0.02
Te  0.0979  0.0979  0.0979  -0.02
Ti  0.0000  0.0000  0.0000  1.48

Computed properties:
The value obtained for the density is 6.61 Mg/m³. The energy above the most stable polymorph in this dataset comes out at 291 meV per atom. Its symmetry is R-3m (166). The calculation puts the formation energy (no corrections) at 0.033 eV per atom. The value obtained for the total energy is -24.1 eV per cell.

***

8.
A geometry-optimized Cs3AuICl structure. Source: the Alexandria database, functional PBE-GGA.

abc: 5.0718 10.3217 13.1846
angles: 113.18 90.00 90.00
Sites, in units of the cell vectors:
Cs  0.2500  0.6847  0.4522
Cs  0.7500  0.9497  0.2514
Cs  0.7500  0.4258  0.1231
Cs  0.7500  0.3153  0.5478
Cs  0.2500  0.5742  0.8769
Cs  0.2500  0.0503  0.7486
Au  0.2500  0.0578  0.4874
Au  0.7500  0.9422  0.5126
I  0.7500  0.7272  0.7353
I  0.2500  0.2728  0.2647
Cl  0.2500  0.6726  0.1567
Cl  0.7500  0.3274  0.8433

Computed properties:
The value obtained for the density is 3.97 Mg/m³. Its symmetry is P2_1/m (11). The calculation puts the formation energy (no corrections) at -1.225 eV per atom. The value obtained for the total energy is -33.2 eV per cell.